[1]
! Hf2AlGaCo2Ir2 | the Open Quantum Materials Database | PBE | optimized geometry; values from VASP
! total magnetization = 2.01 μB per formula unit
! SG = P-4m2 (115)
! theoretical density = 13.26 Mg/m³
! uncorrected energy = -8.04 eV per atom
&SYSTEM
  ibrav = 0, nat = 8, ntyp = 5
/
ATOMIC_SPECIES
Al 26.98 Al.upf
Co 58.93 Co.upf
Ga 69.72 Ga.upf
Hf 178.49 Hf.upf
Ir 192.22 Ir.upf
ATOMIC_POSITIONS crystal
Al 0.000 0.000 0.000
Co 0.500 0.000 0.249
Co 0.000 0.500 0.751
Ga 0.500 0.500 0.500
Hf 0.500 0.500 0.000
Hf 0.000 0.000 0.500
Ir 0.000 0.500 0.247
Ir 0.500 0.000 0.753
CELL_PARAMETERS angstrom
4.390 0.000 0.000
0.000 4.390 0.000
0.000 0.000 6.213

[2]
! Zr3AlGa2CoIr2 | the Open Quantum Materials Database | PBE | optimized geometry; values from VASP
! total magnetization = 0.00 μB per formula unit
! SG = Amm2 (38)
! theoretical density = 9.63 Mg/m³
! uncorrected energy = -7.46 eV per atom
&SYSTEM
  ibrav = 0, nat = 9, ntyp = 5
/
ATOMIC_SPECIES
Al 26.98 Al.upf
Co 58.93 Co.upf
Ga 69.72 Ga.upf
Ir 192.22 Ir.upf
Zr 91.22 Zr.upf
ATOMIC_POSITIONS crystal
Al 0.000 0.750 0.750
Co 0.500 0.998 0.998
Ga 0.000 0.998 0.251
Ga 0.000 0.251 0.998
Ir 0.000 0.668 0.339
Ir 0.000 0.339 0.668
Zr 0.500 0.602 0.002
Zr 0.500 0.394 0.394
Zr 0.500 0.002 0.602
CELL_PARAMETERS angstrom
-1.223 -0.482 -3.202
-6.595 1.496 2.293
4.243 5.215 -2.405

[3]
! KAl6Ga3Co2 | the Open Quantum Materials Database | PBE | optimized geometry; values from VASP
! total magnetization = 0.00 μB per formula unit
! SG = P6/mmm (191)
! theoretical density = 4.11 Mg/m³
! uncorrected energy = -4.18 eV per atom
&SYSTEM
  ibrav = 0, nat = 12, ntyp = 4
/
ATOMIC_SPECIES
Al 26.98 Al.upf
Co 58.93 Co.upf
Ga 69.72 Ga.upf
K 39.10 K.upf
ATOMIC_POSITIONS crystal
Al 0.427 0.213 0.500
Al 0.787 0.213 0.500
Al 0.213 0.427 0.500
Al 0.787 0.573 0.500
Al 0.213 0.787 0.500
Al 0.573 0.787 0.500
Co 0.667 0.333 0.000
Co 0.333 0.667 0.000
Ga 0.500 0.000 0.000
Ga 0.000 0.500 0.000
Ga 0.500 0.500 0.000
K 0.000 0.000 0.000
CELL_PARAMETERS angstrom
8.017 0.000 0.000
-4.008 6.943 0.000
0.000 0.000 3.835

[4]
! KAl3Ga6Co2 | the Open Quantum Materials Database | PBE | optimized geometry; values from VASP
! total magnetization = 0.00 μB per formula unit
! SG = P6/mmm (191)
! theoretical density = 5.17 Mg/m³
! uncorrected energy = -4.02 eV per atom
&SYSTEM
  ibrav = 0, nat = 12, ntyp = 4
/
ATOMIC_SPECIES
Al 26.98 Al.upf
Co 58.93 Co.upf
Ga 69.72 Ga.upf
K 39.10 K.upf
ATOMIC_POSITIONS crystal
Al 0.500 0.000 0.000
Al 0.000 0.500 0.000
Al 0.500 0.500 0.000
Co 0.667 0.333 0.000
Co 0.333 0.667 0.000
Ga 0.420 0.210 0.500
Ga 0.790 0.210 0.500
Ga 0.210 0.420 0.500
Ga 0.790 0.580 0.500
Ga 0.210 0.790 0.500
Ga 0.580 0.790 0.500
K 0.000 0.000 0.000
CELL_PARAMETERS angstrom
7.962 0.000 0.000
-3.981 6.895 0.000
0.000 0.000 3.837

[5]
! Li2Ta2AlGaCo2 | the Open Quantum Materials Database | PBE | optimized geometry; values from VASP
! total magnetization = 0.00 μB per formula unit
! SG = P-4m2 (115)
! theoretical density = 9.39 Mg/m³
! uncorrected energy = -6.38 eV per atom
&SYSTEM
  ibrav = 0, nat = 8, ntyp = 5
/
ATOMIC_SPECIES
Al 26.98 Al.upf
Co 58.93 Co.upf
Ga 69.72 Ga.upf
Li 6.94 Li.upf
Ta 180.95 Ta.upf
ATOMIC_POSITIONS crystal
Al 0.000 0.000 0.000
Co 0.500 0.000 0.247
Co 0.000 0.500 0.753
Ga 0.500 0.500 0.500
Li 0.000 0.500 0.252
Li 0.500 0.000 0.748
Ta 0.500 0.500 0.000
Ta 0.000 0.000 0.500
CELL_PARAMETERS angstrom
4.195 0.000 0.000
0.000 4.195 0.000
0.000 0.000 5.934

[6]
! Li2Zr2AlGaCo2 | the Open Quantum Materials Database | PBE | optimized geometry; values from VASP
! total magnetization = 1.60 μB per formula unit
! SG = P-4m2 (115)
! theoretical density = 5.92 Mg/m³
! uncorrected energy = -5.59 eV per atom
&SYSTEM
  ibrav = 0, nat = 8, ntyp = 5
/
ATOMIC_SPECIES
Al 26.98 Al.upf
Co 58.93 Co.upf
Ga 69.72 Ga.upf
Li 6.94 Li.upf
Zr 91.22 Zr.upf
ATOMIC_POSITIONS crystal
Al 0.500 0.500 0.000
Co 0.500 0.000 0.248
Co 0.000 0.500 0.752
Ga 0.000 0.000 0.500
Li 0.000 0.500 0.251
Li 0.500 0.000 0.749
Zr 0.000 0.000 0.000
Zr 0.500 0.500 0.500
CELL_PARAMETERS angstrom
4.334 0.000 0.000
0.000 4.334 0.000
0.000 0.000 6.130

[7]
! AlGaCo4Ni2 | the Open Quantum Materials Database | PBE | optimized geometry; values from VASP
! total magnetization = 5.99 μB per formula unit
! SG = P-4m2 (115)
! theoretical density = 8.09 Mg/m³
! uncorrected energy = -5.97 eV per atom
&SYSTEM
  ibrav = 0, nat = 8, ntyp = 4
/
ATOMIC_SPECIES
Al 26.98 Al.upf
Co 58.93 Co.upf
Ga 69.72 Ga.upf
Ni 58.69 Ni.upf
ATOMIC_POSITIONS crystal
Al 0.000 0.000 0.000
Co 0.500 0.500 0.000
Co 0.000 0.500 0.250
Co 0.000 0.000 0.500
Co 0.500 0.000 0.750
Ga 0.500 0.500 0.500
Ni 0.500 0.000 0.250
Ni 0.000 0.500 0.750
CELL_PARAMETERS angstrom
4.026 0.000 0.000
0.000 4.026 0.000
0.000 0.000 5.695